Ir2O5 | PBE | optimized geometry

Results
M_tot = 0.2 μB/f.u.
V = 80 Å³/cell
SG = No. 5
E above lowest polymorph = 312 meV/atom

Lattice parameters (Å, degrees): 3.752 3.752 5.988 101.13 101.13 78.70
Positions (direct):
Ir (0.178, 0.178, 0.271)
Ir (0.822, 0.822, 0.729)
O (0.165, 0.470, 0.566)
O (0.185, 0.815, 0.000)
O (0.530, 0.835, 0.434)
O (0.670, 0.247, 0.214)
O (0.753, 0.330, 0.786)